The following is a DFT calculation (PBE-GGA) of BaP2RuS after structural relaxation.

Lattice parameters (Å, degrees): 5.008 5.008 4.358 90.00 90.00 90.00
Positions (direct):
Ba1 0.000 0.000 0.000
P1 0.000 0.500 0.500
P2 0.500 0.000 0.500
Ru1 0.500 0.500 0.000
S1 0.500 0.500 0.500

Summary:
Electronic total energy: -4.980 eV per atom
Total magnetic moment: 0.00 μB per formula unit
Density of states at the Fermi level: 3.63 states/eV/f.u.



The following is a DFT calculation (PBE-GGA) of Dy3HgPb2 after structural relaxation.

Lattice parameters (Å, degrees): 12.484 4.740 11.580 90.00 90.00 90.00
Positions (direct):
Dy1 0.033 0.250 0.126
Dy2 0.140 0.750 0.576
Dy3 0.200 0.250 0.818
Dy4 0.300 0.750 0.318
Dy5 0.360 0.250 0.076
Dy6 0.467 0.750 0.626
Dy7 0.533 0.250 0.374
Dy8 0.640 0.750 0.924
Dy9 0.700 0.250 0.682
Dy10 0.800 0.750 0.182
Dy11 0.860 0.250 0.424
Dy12 0.967 0.750 0.874
Hg1 0.160 0.250 0.343
Hg2 0.340 0.750 0.843
Hg3 0.660 0.250 0.157
Hg4 0.840 0.750 0.657
Pb1 0.007 0.750 0.332
Pb2 0.180 0.750 0.038
Pb3 0.320 0.250 0.538
Pb4 0.493 0.250 0.832
Pb5 0.507 0.750 0.168
Pb6 0.680 0.750 0.462
Pb7 0.820 0.250 0.962
Pb8 0.993 0.250 0.668

Summary:
Electronic total energy: -4.010 eV per atom
Total magnetic moment: 0.00 μB per formula unit
Density of states at the Fermi level: 4.19 states/eV/f.u.



The following is a DFT calculation (PBE-GGA) of ScCuRe2 after structural relaxation.

Lattice parameters (Å, degrees): 6.259 6.259 6.259 90.00 90.00 90.00
Positions (direct):
Sc1 0.000 0.000 0.000
Sc2 0.000 0.500 0.500
Sc3 0.500 0.000 0.500
Sc4 0.500 0.500 0.000
Cu1 0.250 0.250 0.250
Cu2 0.250 0.750 0.750
Cu3 0.750 0.250 0.750
Cu4 0.750 0.750 0.250
Re1 0.000 0.000 0.500
Re2 0.000 0.500 0.000
Re3 0.250 0.250 0.750
Re4 0.250 0.750 0.250
Re5 0.500 0.000 0.000
Re6 0.500 0.500 0.500
Re7 0.750 0.250 0.250
Re8 0.750 0.750 0.750

Summary:
Electronic total energy: -8.850 eV per atom
Total magnetic moment: 0.00 μB per formula unit
Density of states at the Fermi level: 1.11 states/eV/f.u.



The following is a DFT calculation (PBE-GGA) of CdFeCuH2 after structural relaxation.

Lattice parameters (Å, degrees): 3.506 3.506 5.511 90.00 90.00 90.00
Positions (direct):
Cd1 0.000 0.000 0.000
Fe1 0.000 0.000 0.500
Cu1 0.500 0.500 0.000
H1 0.000 0.500 0.500
H2 0.500 0.000 0.500

Summary:
Electronic total energy: -3.408 eV per atom
Total magnetic moment: 2.72 μB per formula unit
Density of states at the Fermi level: 4.13 states/eV/f.u.